[1]
Here is TaNb4W4 after structural relaxation from Alexandria. Energies are from GGA-PBE.

Output
calculated formation energy	834	meV per atom
M_tot	0.00	μB/f.u.
crystal system	tetragonal
calculated volume	19.53	A^3/atom
final energy	-10.715	eV/atom
density	12.17	g/cm³

a = 8.112 Å, b = 8.112 Å, c = 5.342 Å
α = 90.00°, β = 90.00°, γ = 90.00°
Space group P4_2/nmc (No. 137, origin choice 2)
Unique sites:
1 Ta 0.250 0.750 0.250 [2 per cell]
2 Nb 0.076 0.250 0.641 [8 per cell]
3 W 0.044 0.750 0.844 [8 per cell]


[2]
Here is TaNb3W2 after structural relaxation from Alexandria. Energies are from GGA-PBE.

Output
calculated formation energy	144	meV per atom
M_tot	0.00	μB/f.u.
crystal system	monoclinic
calculated volume	18.31	A^3/atom
final energy	-11.185	eV/atom
density	12.51	g/cm³

a = 13.747 Å, b = 4.566 Å, c = 7.042 Å
α = 90.00°, β = 96.24°, γ = 90.00°
Space group C2/m (No. 12)
Unique sites:
1 Ta 0.150 0.000 0.283 [4 per cell]
2 Nb 0.074 0.000 0.864 [4 per cell]
3 Nb 0.112 0.500 0.570 [4 per cell]
4 Nb 0.192 0.500 0.967 [4 per cell]
5 W 0.039 0.500 0.187 [4 per cell]
6 W 0.233 0.000 0.655 [4 per cell]


[3]
Here is Ta5NbW2 after structural relaxation from Alexandria. Energies are from GGA-PBE.

Output
calculated formation energy	33	meV per atom
M_tot	0.00	μB/f.u.
crystal system	orthorhombic
calculated volume	17.75	A^3/atom
final energy	-11.872	eV/atom
density	15.97	g/cm³

a = 5.591 Å, b = 10.940 Å, c = 4.643 Å
α = 90.00°, β = 90.00°, γ = 90.00°
Space group Pbam (No. 55)
Unique sites:
1 Ta 0.000 0.000 0.000 [2 per cell]
2 Ta 0.153 0.255 0.000 [4 per cell]
3 Ta 0.164 0.620 0.500 [4 per cell]
4 Nb 0.000 0.500 0.000 [2 per cell]
5 W 0.163 0.878 0.500 [4 per cell]


[4]
Here is Ta12NbW6 after structural relaxation from Alexandria. Energies are from GGA-PBE.

Output
calculated formation energy	170	meV per atom
M_tot	0.00	μB/f.u.
crystal system	trigonal
calculated volume	18.30	A^3/atom
final energy	-11.936	eV/atom
density	16.08	g/cm³

a = 9.8122 Å, b = 9.8122 Å, c = 12.5081 Å
α = 90.00°, β = 90.00°, γ = 120.00°
Space group R-3 (No. 148, hexagonal axes)
Unique sites:
1 Ta 0.0508 0.1869 0.3048 [18 per cell]
2 Ta 0.0664 0.8336 0.9177 [18 per cell]
3 Nb 0.0000 0.0000 0.5000 [3 per cell]
4 W 0.0324 0.4435 0.2060 [18 per cell]


[5]
Here is Ta4Nb2W3 after structural relaxation from Alexandria. Energies are from GGA-PBE.

Output
calculated formation energy	-65	meV per atom
M_tot	0.00	μB/f.u.
crystal system	trigonal
calculated volume	17.40	A^3/atom
final energy	-11.889	eV/atom
density	15.49	g/cm³

a = 4.6227 Å, b = 4.6227 Å, c = 8.4623 Å
α = 90.00°, β = 90.00°, γ = 120.00°
Space group P-3m1 (No. 164)
Unique sites:
1 Ta 0.0000 0.0000 0.1678 [2 per cell]
2 Ta 0.3333 0.6667 0.3880 [2 per cell]
3 Nb 0.3333 0.6667 0.7253 [2 per cell]
4 W 0.0000 0.0000 0.5000 [1 per cell]
5 W 0.3333 0.6667 0.0506 [2 per cell]


[6]
Here is Ta3NbW after structural relaxation from Alexandria. Energies are from GGA-PBE.

Output
calculated formation energy	1577	meV per atom
M_tot	0.00	μB/f.u.
crystal system	cubic
calculated volume	22.50	A^3/atom
final energy	-10.139	eV/atom
density	12.10	g/cm³

a = 4.827 Å, b = 4.827 Å, c = 4.827 Å
α = 90.00°, β = 90.00°, γ = 90.00°
Space group Pm-3m (No. 221)
Unique sites:
1 Ta 0.000 0.000 0.500 [3 per cell]
2 Nb 0.500 0.500 0.500 [1 per cell]
3 W 0.000 0.000 0.000 [1 per cell]


[7]
Here is Ta2NbW3 after structural relaxation from Alexandria. Energies are from GGA-PBE.

Output
calculated formation energy	-88	meV per atom
M_tot	0.00	μB/f.u.
crystal system	orthorhombic
calculated volume	17.02	A^3/atom
final energy	-12.193	eV/atom
density	16.37	g/cm³

a = 4.578 Å, b = 13.732 Å, c = 6.496 Å
α = 90.00°, β = 90.00°, γ = 90.00°
Space group Cmmm (No. 65)
Unique sites:
1 Ta 0.000 0.000 0.000 [2 per cell]
2 Ta 0.000 0.000 0.500 [2 per cell]
3 Ta 0.000 0.333 0.000 [4 per cell]
4 Nb 0.000 0.334 0.500 [4 per cell]
5 W 0.000 0.167 0.250 [8 per cell]
6 W 0.000 0.500 0.250 [4 per cell]


[8]
Here is Ta5Nb6W after structural relaxation from Alexandria. Energies are from GGA-PBE.

Output
calculated formation energy	-16	meV per atom
M_tot	0.00	μB/f.u.
crystal system	monoclinic
calculated volume	18.01	A^3/atom
final energy	-11.069	eV/atom
density	12.64	g/cm³

a = 14.725 Å, b = 6.611 Å, c = 4.676 Å
α = 90.00°, β = 108.24°, γ = 90.00°
Space group C2/m (No. 12)
Unique sites:
1 Ta 0.000 0.000 0.000 [2 per cell]
2 Ta 0.166 0.000 0.666 [4 per cell]
3 Ta 0.169 0.500 0.668 [4 per cell]
4 Nb 0.000 0.255 0.500 [4 per cell]
5 Nb 0.164 0.253 0.164 [8 per cell]
6 W 0.000 0.500 0.000 [2 per cell]


[9]
Here is TaNb4W after structural relaxation from Alexandria. Energies are from GGA-PBE.

Output
calculated formation energy	72	meV per atom
M_tot	0.00	μB/f.u.
crystal system	monoclinic
calculated volume	17.97	A^3/atom
final energy	-10.775	eV/atom
density	11.34	g/cm³

a = 2.768 Å, b = 8.269 Å, c = 9.422 Å
α = 90.00°, β = 90.01°, γ = 90.00°
Space group P2_1/m (No. 11)
Unique sites:
1 Ta 0.016 0.250 0.374 [2 per cell]
2 Nb 0.351 0.578 0.877 [4 per cell]
3 Nb 0.362 0.581 0.372 [4 per cell]
4 W 0.002 0.250 0.877 [2 per cell]


[10]
Here is Ta3Nb4W after structural relaxation from Alexandria. Energies are from GGA-PBE.

Output
calculated formation energy	233	meV per atom
M_tot	0.00	μB/f.u.
crystal system	orthorhombic
calculated volume	18.40	A^3/atom
final energy	-10.866	eV/atom
density	12.39	g/cm³

a = 2.716 Å, b = 9.772 Å, c = 11.090 Å
α = 90.00°, β = 90.00°, γ = 90.00°
Space group Immm (No. 71)
Unique sites:
1 Ta 0.000 0.000 0.000 [2 per cell]
2 Ta 0.000 0.500 0.244 [4 per cell]
3 Nb 0.000 0.252 0.374 [8 per cell]
4 W 0.000 0.000 0.500 [2 per cell]


[11]
Here is Ta2Nb2W5 after structural relaxation from Alexandria. Energies are from GGA-PBE.

Output
calculated formation energy	286	meV per atom
M_tot	0.00	μB/f.u.
crystal system	triclinic
calculated volume	18.08	A^3/atom
final energy	-11.782	eV/atom
density	14.97	g/cm³

a = 7.042 Å, b = 7.179 Å, c = 7.216 Å
α = 103.06°, β = 97.86°, γ = 109.65°
Space group P1 (No. 1)
Unique sites:
1 Ta 0.000 0.000 0.000 [1 per cell]
2 Ta 0.194 0.435 0.205 [1 per cell]
3 Ta 0.419 0.852 0.426 [1 per cell]
4 Ta 0.641 0.288 0.636 [1 per cell]
5 Nb 0.000 0.763 0.252 [1 per cell]
6 Nb 0.221 0.200 0.465 [1 per cell]
7 Nb 0.447 0.615 0.686 [1 per cell]
8 Nb 0.640 0.052 0.890 [1 per cell]
9 W 0.017 0.551 0.527 [1 per cell]
10 W 0.036 0.301 0.767 [1 per cell]
11 W 0.223 0.701 0.959 [1 per cell]
12 W 0.226 0.953 0.716 [1 per cell]
13 W 0.417 0.101 0.177 [1 per cell]
14 W 0.420 0.354 0.933 [1 per cell]
15 W 0.606 0.753 0.127 [1 per cell]
16 W 0.623 0.504 0.365 [1 per cell]
17 W 0.818 0.149 0.323 [1 per cell]
18 W 0.825 0.906 0.571 [1 per cell]


[12]
Here is Ta8Nb2W3 after structural relaxation from Alexandria. Energies are from GGA-PBE.

Output
calculated formation energy	498	meV per atom
M_tot	0.00	μB/f.u.
crystal system	monoclinic
calculated volume	19.21	A^3/atom
final energy	-11.335	eV/atom
density	14.53	g/cm³

a = 12.634 Å, b = 7.402 Å, c = 5.369 Å
α = 90.00°, β = 95.98°, γ = 90.00°
Space group C2/m (No. 12)
Unique sites:
1 Ta 0.100 0.000 0.438 [4 per cell]
2 Ta 0.117 0.184 0.959 [8 per cell]
3 Ta 0.194 0.500 0.256 [4 per cell]
4 Nb 0.199 0.500 0.760 [4 per cell]
5 W 0.000 0.327 0.500 [4 per cell]
6 W 0.000 0.500 0.000 [2 per cell]


[13]
Here is TaNbW2 after structural relaxation from Alexandria. Energies are from GGA-PBE.

Output
calculated formation energy	-78	meV per atom
M_tot	0.00	μB/f.u.
crystal system	tetragonal
calculated volume	17.02	A^3/atom
final energy	-12.035	eV/atom
density	15.65	g/cm³

a = 3.241 Å, b = 3.241 Å, c = 6.482 Å
α = 90.00°, β = 90.00°, γ = 90.00°
Space group P4/mmm (No. 123)
Unique sites:
1 Ta 0.000 0.000 0.000 [1 per cell]
2 Nb 0.000 0.000 0.500 [1 per cell]
3 W 0.500 0.500 0.250 [2 per cell]


[14]
Here is YTa2NbW after structural relaxation from Alexandria. Energies are from GGA-PBE.

Output
calculated formation energy	2637	meV per atom
M_tot	0.27	μB/f.u.
crystal system	tetragonal
calculated volume	21.92	A^3/atom
final energy	-8.001	eV/atom
density	11.02	g/cm³

a = 4.826 Å, b = 4.826 Å, c = 4.706 Å
α = 90.00°, β = 90.00°, γ = 90.00°
Space group P4/mmm (No. 123)
Unique sites:
1 Y 0.000 0.000 0.000 [1 per cell]
2 Ta 0.000 0.500 0.000 [2 per cell]
3 Nb 0.000 0.000 0.500 [1 per cell]
4 W 0.500 0.500 0.500 [1 per cell]


[15]
Here is TaNbZnW after structural relaxation from Alexandria. Energies are from GGA-PBE.

Output
calculated formation energy	92	meV per atom
M_tot	0.00	μB/f.u.
crystal system	cubic
calculated volume	16.89	A^3/atom
final energy	-8.945	eV/atom
density	12.86	g/cm³

a = 6.465 Å, b = 6.465 Å, c = 6.465 Å
α = 90.00°, β = 90.00°, γ = 90.00°
Space group F-43m (No. 216)
Unique sites:
1 Ta 0.000 0.000 0.000 [4 per cell]
2 Nb 0.000 0.000 0.500 [4 per cell]
3 Zn 0.250 0.250 0.250 [4 per cell]
4 W 0.250 0.250 0.750 [4 per cell]


[16]
Here is TaNbZnW2 after structural relaxation from Alexandria. Energies are from GGA-PBE.

Output
calculated formation energy	2020	meV per atom
M_tot	0.00	μB/f.u.
crystal system	tetragonal
calculated volume	20.91	A^3/atom
final energy	-7.800	eV/atom
density	11.23	g/cm³

a = 4.713 Å, b = 4.713 Å, c = 4.708 Å
α = 90.00°, β = 90.00°, γ = 90.00°
Space group P4/mmm (No. 123)
Unique sites:
1 Ta 0.000 0.000 0.000 [1 per cell]
2 Nb 0.500 0.500 0.500 [1 per cell]
3 Zn 0.500 0.500 0.000 [1 per cell]
4 W 0.000 0.500 0.500 [2 per cell]


[17]
Here is Y3TaNb after structural relaxation from Alexandria. Energies are from GGA-PBE.

Output
calculated formation energy	1188	meV per atom
M_tot	3.29	μB/f.u.
crystal system	cubic
calculated volume	31.42	A^3/atom
final energy	-7.075	eV/atom
density	5.71	g/cm³

a = 5.396 Å, b = 5.396 Å, c = 5.396 Å
α = 90.00°, β = 90.00°, γ = 90.00°
Space group Pm-3m (No. 221)
Unique sites:
1 Y 0.000 0.000 0.500 [3 per cell]
2 Ta 0.000 0.000 0.000 [1 per cell]
3 Nb 0.500 0.500 0.500 [1 per cell]


[18]
Here is Y2TaNb after structural relaxation from Alexandria. Energies are from GGA-PBE.

Output
calculated formation energy	640	meV per atom
M_tot	0.00	μB/f.u.
crystal system	cubic
calculated volume	23.48	A^3/atom
final energy	-8.072	eV/atom
density	7.99	g/cm³

a = 7.215 Å, b = 7.215 Å, c = 7.215 Å
α = 90.00°, β = 90.00°, γ = 90.00°
Space group Fm-3m (No. 225)
Unique sites:
1 Y 0.250 0.250 0.250 [8 per cell]
2 Ta 0.000 0.000 0.000 [4 per cell]
3 Nb 0.000 0.000 0.500 [4 per cell]


[19]
Here is Y2TaNb after structural relaxation from Alexandria. Energies are from GGA-PBE.

Output
calculated formation energy	979	meV per atom
M_tot	0.00	μB/f.u.
crystal system	tetragonal
calculated volume	24.43	A^3/atom
final energy	-7.734	eV/atom
density	7.68	g/cm³

a = 8.060 Å, b = 8.060 Å, c = 6.017 Å
α = 90.00°, β = 90.00°, γ = 90.00°
Space group I-42d (No. 122)
Unique sites:
1 Y 0.247 0.750 0.125 [8 per cell]
2 Ta 0.000 0.000 0.500 [4 per cell]
3 Nb 0.000 0.000 0.000 [4 per cell]


[20]
Here is YTa3Nb after structural relaxation from Alexandria. Energies are from GGA-PBE.

Output
calculated formation energy	1140	meV per atom
M_tot	0.00	μB/f.u.
crystal system	cubic
calculated volume	24.17	A^3/atom
final energy	-9.279	eV/atom
density	9.96	g/cm³

a = 4.944 Å, b = 4.944 Å, c = 4.944 Å
α = 90.00°, β = 90.00°, γ = 90.00°
Space group Pm-3m (No. 221)
Unique sites:
1 Y 0.000 0.000 0.000 [1 per cell]
2 Ta 0.000 0.500 0.500 [3 per cell]
3 Nb 0.500 0.500 0.500 [1 per cell]


[21]
Here is YTa3Nb after structural relaxation from Alexandria. Energies are from GGA-PBE.

Output
calculated formation energy	2360	meV per atom
M_tot	0.00	μB/f.u.
crystal system	cubic
calculated volume	22.88	A^3/atom
final energy	-8.058	eV/atom
density	10.52	g/cm³

a = 4.854 Å, b = 4.854 Å, c = 4.854 Å
α = 90.00°, β = 90.00°, γ = 90.00°
Space group Pm-3m (No. 221)
Unique sites:
1 Y 0.000 0.000 0.000 [1 per cell]
2 Ta 0.000 0.000 0.500 [3 per cell]
3 Nb 0.500 0.500 0.500 [1 per cell]


[22]
Here is TaNbZn2 after structural relaxation from Alexandria. Energies are from GGA-PBE.

Output
calculated formation energy	51	meV per atom
M_tot	0.00	μB/f.u.
crystal system	orthorhombic
calculated volume	16.35	A^3/atom
final energy	-6.067	eV/atom
density	10.27	g/cm³

a = 3.000 Å, b = 4.745 Å, c = 9.191 Å
α = 90.00°, β = 90.00°, γ = 90.00°
Space group Imm2 (No. 44)
Unique sites:
1 Ta 0.000 0.000 0.000 [2 per cell]
2 Nb 0.000 0.500 0.764 [2 per cell]
3 Zn 0.000 0.000 0.522 [2 per cell]
4 Zn 0.000 0.500 0.243 [2 per cell]


[23]
Here is TaNb2Zn after structural relaxation from Alexandria. Energies are from GGA-PBE.

Output
calculated formation energy	-18	meV per atom
M_tot	0.00	μB/f.u.
crystal system	triclinic
calculated volume	17.33	A^3/atom
final energy	-8.335	eV/atom
density	10.35	g/cm³

a = 3.380 Å, b = 3.393 Å, c = 6.045 Å
α = 89.97°, β = 89.97°, γ = 89.94°
Space group P1 (No. 1)
Unique sites:
1 Ta 0.000 0.000 0.000 [1 per cell]
2 Nb 0.003 0.003 0.505 [1 per cell]
3 Nb 0.501 0.501 0.253 [1 per cell]
4 Zn 0.501 0.501 0.754 [1 per cell]